HoPt3Rh: optimized geometry, PBE-GGA.

Values from the calculation:
ΔE_f = -0.525 eV/atom
Space group = Pmmn, No. 59
Calculated total energy = -6.5352 eV per atom
Total magnetization = 0.0 Bohr magnetons per cell

The structure in POSCAR format:
```
HoPt3Rh
1.0
4.380 0.000 0.000
0.000 6.473 0.000
0.000 0.000 6.336
Ho Pt Rh
2 6 2
Direct
0.250 0.250 0.244
0.750 0.750 0.756
0.250 0.050 0.756
0.250 0.450 0.756
0.250 0.750 0.454
0.750 0.250 0.546
0.750 0.550 0.244
0.750 0.950 0.244
0.250 0.750 0.053
0.750 0.250 0.947
```

BaZrGa2Pt: optimized geometry, PBE-GGA.

Values from the calculation:
ΔE_f = 1.766 eV/atom
Space group = P4/mmm, No. 123
Calculated total energy = -2.7472 eV per atom
Total magnetization = 0.0 Bohr magnetons per cell

The structure in POSCAR format:
```
BaZrGa2Pt
1.0
5.521 0.000 0.000
0.000 5.521 0.000
0.000 0.000 5.702
Ba Zr Ga Pt
1 1 2 1
Direct
0.000 0.000 0.000
0.000 0.000 0.500
0.000 0.500 0.000
0.500 0.000 0.000
0.500 0.500 0.500
```

| no. | DOS(E_F) (states/eV/atom) |
| --- | --- |
| 1 | 1.362 |
| 2 | 1.172 |